Computed, not measured: a relaxed ReRu2Au crystal at the PBE level of DFT.

a b c (Å): 4.751 4.751 2.792
angles (deg): 90.00 90.00 108.27
Fractional positions:
Ru 0.500 0.500 0.000
Ru 0.000 0.000 0.000
Au 0.500 0.000 0.500
Re 0.000 0.500 0.500

Values from the calculation:
Formation energy from the elements: 1.31 eV per formula unit
VASP energy: -8.241 eV/atom
Energy above the most stable polymorph in this dataset: 190 meV/atom